Computed, not measured: Hf2WC after structural relaxation at the PBE level of DFT.

Cell: 3.1059 3.1059 24.4371 Å, 90.00 90.00 120.00°
Space group R-3m (No. 166, hexagonal axes)
Inequivalent atoms, fractional coordinates:
Hf: 0.0000 0.0000 0.1126 x6
W: 0.0000 0.0000 0.0000 x3
C: 0.0000 0.0000 0.5000 x3

Results
The total moment comes out at 0.00 μB/f.u.

=====

Computed, not measured: HfWC after structural relaxation at the PBE level of DFT.

Cell: 3.088 4.663 5.976 Å, 90.00 100.32 90.00°
Space group P2_1/m (No. 11)
Inequivalent atoms, fractional coordinates:
Hf: 0.193 0.250 0.364 x2
W: 0.375 0.250 0.890 x2
C: 0.213 0.750 0.359 x2

Results
The total moment comes out at 0.00 μB/f.u.

=====

Computed, not measured: HfWC3 after structural relaxation at the PBE level of DFT.

Cell: 4.085 4.085 4.085 Å, 90.00 90.00 90.00°
Space group Pm-3m (No. 221)
Inequivalent atoms, fractional coordinates:
Hf: 0.000 0.000 0.000 x1
W: 0.500 0.500 0.500 x1
C: 0.000 0.000 0.500 x3

Results
The energy above the lowest structure with this stoichiometry comes out at 1340 meV per atom. The total moment comes out at 0.00 μB/f.u.

=====

Number 1: formation enthalpy at 0 K 0.318 eV/f.u., DOS at the Fermi energy 4.7 states/eV/cell. Number 2: formation enthalpy at 0 K -1.493 eV/f.u., DOS at the Fermi energy 2.6 states/eV/cell. Number 3: formation enthalpy at 0 K 12.588 eV/f.u., DOS at the Fermi energy 5.6 states/eV/cell.